(1)
! CrPt2CS | the Alexandria database | GGA-PBE | optimized geometry; values from VASP
&SYSTEM
  ibrav = 0, nat = 5, ntyp = 4
/
ATOMIC_SPECIES
Cr 52.00 Cr.upf
Pt 195.08 Pt.upf
C 12.01 C.upf
S 32.06 S.upf
CELL_PARAMETERS angstrom
4.7538 0.0000 0.0000
0.0000 4.7538 0.0000
0.0000 0.0000 3.5943
ATOMIC_POSITIONS crystal
Cr 0.0000 0.0000 0.0000
Pt 0.0000 0.5000 0.0000
Pt 0.5000 0.0000 0.0000
C 0.0000 0.0000 0.5000
S 0.5000 0.5000 0.5000
! Energy relative to the elements, uncorrected, meV per atom: 1431.7
! Calculated volume, Å³/cell: 81
! Size of the total moment, μB/cell: 0.00
! Energy, Ry/atom: -0.4101

(2)
! Sc2CrPtC | the Alexandria database | GGA-PBE | optimized geometry; values from VASP
&SYSTEM
  ibrav = 0, nat = 5, ntyp = 4
/
ATOMIC_SPECIES
Sc 44.96 Sc.upf
Cr 52.00 Cr.upf
Pt 195.08 Pt.upf
C 12.01 C.upf
CELL_PARAMETERS angstrom
4.5107 0.0000 0.0000
0.0000 4.5107 0.0000
0.0000 0.0000 3.7933
ATOMIC_POSITIONS crystal
Sc 0.0000 0.5000 0.0000
Sc 0.5000 0.0000 0.0000
Cr 0.0000 0.0000 0.5000
Pt 0.5000 0.5000 0.5000
C 0.0000 0.0000 0.0000
! Calculated volume, Å³/cell: 77
! Size of the total moment, μB/cell: 1.57
! Energy, Ry/atom: -0.5970
! Calculated formation energy, meV/atom: -612

(3)
! TaCr2PtC | the Alexandria database | GGA-PBE | optimized geometry; values from VASP
&SYSTEM
  ibrav = 0, nat = 5, ntyp = 4
/
ATOMIC_SPECIES
Ta 180.95 Ta.upf
Cr 52.00 Cr.upf
Pt 195.08 Pt.upf
C 12.01 C.upf
CELL_PARAMETERS angstrom
3.8919 0.0000 0.0000
0.0000 3.8919 0.0000
0.0000 0.0000 4.2505
ATOMIC_POSITIONS crystal
Ta 0.0000 0.0000 0.0000
Cr 0.0000 0.5000 0.5000
Cr 0.5000 0.0000 0.5000
Pt 0.5000 0.5000 0.0000
C 0.0000 0.0000 0.5000
! Calculated volume, Å³/cell: 64
! Energy relative to the lowest polymorph listed for this composition, meV/atom: 0
! Size of the total moment, μB/cell: 1.10
! Energy, Ry/atom: -0.6995
! Calculated formation energy, meV/atom: -245

(4)
! TaCr2PtC | the Alexandria database | GGA-PBE | optimized geometry; values from VASP
&SYSTEM
  ibrav = 0, nat = 5, ntyp = 4
/
ATOMIC_SPECIES
Ta 180.95 Ta.upf
Cr 52.00 Cr.upf
Pt 195.08 Pt.upf
C 12.01 C.upf
CELL_PARAMETERS angstrom
4.4687 0.0000 0.0000
0.0000 4.4687 0.0000
0.0000 0.0000 4.8945
ATOMIC_POSITIONS crystal
Ta 0.0000 0.0000 0.0000
Cr 0.0000 0.5000 0.0000
Cr 0.5000 0.0000 0.0000
Pt 0.0000 0.0000 0.5000
C 0.5000 0.5000 0.5000
! Calculated volume, Å³/cell: 98
! Energy relative to the lowest polymorph listed for this composition, meV/atom: 3140
! Size of the total moment, μB/cell: 0.00
! Energy, Ry/atom: -0.4688
! Calculated formation energy, meV/atom: 2895

(5)
! Ta2CrPtC | the Alexandria database | GGA-PBE | optimized geometry; values from VASP
&SYSTEM
  ibrav = 0, nat = 5, ntyp = 4
/
ATOMIC_SPECIES
Ta 180.95 Ta.upf
Cr 52.00 Cr.upf
Pt 195.08 Pt.upf
C 12.01 C.upf
CELL_PARAMETERS angstrom
4.2905 0.0000 0.0000
0.0000 4.2905 0.0000
0.0000 0.0000 3.8317
ATOMIC_POSITIONS crystal
Ta 0.0000 0.5000 0.0000
Ta 0.5000 0.0000 0.0000
Cr 0.0000 0.0000 0.5000
Pt 0.5000 0.5000 0.5000
C 0.0000 0.0000 0.0000
! Calculated volume, Å³/cell: 71
! Size of the total moment, μB/cell: 0.00
! Energy, Ry/atom: -0.7425
! Calculated formation energy, meV/atom: -384

(6)
! CrTePtC2 | the Alexandria database | GGA-PBE | optimized geometry; values from VASP
&SYSTEM
  ibrav = 0, nat = 5, ntyp = 4
/
ATOMIC_SPECIES
Cr 52.00 Cr.upf
Te 127.60 Te.upf
Pt 195.08 Pt.upf
C 12.01 C.upf
CELL_PARAMETERS angstrom
3.8533 0.0000 0.0000
0.0000 3.8533 0.0000
0.0000 0.0000 8.5673
ATOMIC_POSITIONS crystal
Cr 0.0000 0.0000 0.0000
Te 0.5000 0.5000 0.0000
Pt 0.5000 0.5000 0.5000
C 0.0000 0.5000 0.5000
C 0.5000 0.0000 0.5000
! Energy relative to the elements, uncorrected, meV per atom: 1486.2
! Calculated volume, Å³/cell: 127
! Energy relative to the lowest polymorph listed for this composition, meV/atom: 193
! Size of the total moment, μB/cell: 4.06
! Energy, Ry/atom: -0.4384